The following is a GGA-PBE calculation of a relaxed structure of HoAl8Ni3, from the Alexandria database.

Summary:
Formation energy from the elements   -7.492 kcal/mol of atoms
Crystal system   orthorhombic
Uncorrected energy   -0.34153 Ry per atom

a = 6.208 Å, b = 8.107 Å, c = 8.107 Å
α = 28.86°, β = 90.00°, γ = 90.00°
Fractional coordinates of all 12 atoms:
Ho  0.000  0.000  0.000
Al  0.000  0.191  0.191
Al  0.226  0.798  0.798
Al  0.257  0.621  0.621
Al  0.293  0.434  0.434
Al  0.500  0.055  0.055
Al  0.707  0.434  0.434
Al  0.743  0.621  0.621
Al  0.774  0.798  0.798
Ni  0.000  0.339  0.339
Ni  0.500  0.300  0.300
Ni  0.500  0.907  0.907

The following is a GGA-PBE calculation of a relaxed structure of Tm3In5O12, from the Alexandria database.

Summary:
Crystal system   cubic
Formation energy (no corrections)   -2230 meV/atom
Uncorrected energy   -0.48213 Ry per atom

a = 11.291 Å, b = 11.291 Å, c = 11.291 Å
α = 109.47°, β = 109.47°, γ = 109.47°
Fractional coordinates of all 80 atoms:
Tm  0.125  0.250  0.375
Tm  0.125  0.375  0.750
Tm  0.250  0.375  0.125
Tm  0.250  0.875  0.625
Tm  0.375  0.125  0.250
Tm  0.375  0.750  0.125
Tm  0.625  0.250  0.875
Tm  0.625  0.875  0.750
Tm  0.750  0.125  0.375
Tm  0.750  0.625  0.875
Tm  0.875  0.625  0.250
Tm  0.875  0.750  0.625
In  0.000  0.000  0.000
In  0.000  0.000  0.500
In  0.000  0.500  0.000
In  0.000  0.500  0.500
In  0.125  0.750  0.875
In  0.125  0.875  0.250
In  0.250  0.125  0.875
In  0.250  0.625  0.375
In  0.375  0.250  0.625
In  0.375  0.625  0.750
In  0.500  0.000  0.000
In  0.500  0.000  0.500
In  0.500  0.500  0.000
In  0.500  0.500  0.500
In  0.625  0.375  0.250
In  0.625  0.750  0.375
In  0.750  0.375  0.625
In  0.750  0.875  0.125
In  0.875  0.125  0.750
In  0.875  0.250  0.125
O  0.046  0.219  0.134
O  0.046  0.327  0.912
O  0.085  0.719  0.673
O  0.085  0.866  0.412
O  0.088  0.634  0.415
O  0.088  0.954  0.673
O  0.134  0.046  0.219
O  0.134  0.588  0.915
O  0.173  0.219  0.585
O  0.173  0.454  0.588
O  0.219  0.134  0.046
O  0.219  0.585  0.173
O  0.281  0.327  0.915
O  0.281  0.454  0.366
O  0.327  0.912  0.046
O  0.327  0.915  0.281
O  0.366  0.281  0.454
O  0.366  0.585  0.912
O  0.412  0.085  0.866
O  0.412  0.827  0.546
O  0.415  0.088  0.634
O  0.415  0.827  0.781
O  0.454  0.366  0.281
O  0.454  0.588  0.173
O  0.546  0.412  0.827
O  0.546  0.634  0.719
O  0.585  0.173  0.219
O  0.585  0.912  0.366
O  0.588  0.173  0.454
O  0.588  0.915  0.134
O  0.634  0.415  0.088
O  0.634  0.719  0.546
O  0.673  0.085  0.719
O  0.673  0.088  0.954
O  0.719  0.546  0.634
O  0.719  0.673  0.085
O  0.781  0.415  0.827
O  0.781  0.866  0.954
O  0.827  0.546  0.412
O  0.827  0.781  0.415
O  0.866  0.412  0.085
O  0.866  0.954  0.781
O  0.912  0.046  0.327
O  0.912  0.366  0.585
O  0.915  0.134  0.588
O  0.915  0.281  0.327
O  0.954  0.673  0.088
O  0.954  0.781  0.866